This record from the Alexandria database describes crystalline TcRuAu2 at its relaxed geometry. The functional is PBE.

```
data_TcRuAu2
_chemical_formula_sum 'Tc2 Ru2 Au4'
_symmetry_space_group_name_H-M 'P 1'
_symmetry_Int_Tables_number 1
_symmetry_space_group_name_Hall 'P 1'
_cell_length_a 7.394
_cell_length_b 7.394
_cell_length_c 5.843
_cell_angle_alpha 50.75
_cell_angle_beta 50.75
_cell_angle_gamma 90.00
loop_
_atom_site_label
_atom_site_type_symbol
_atom_site_fract_x
_atom_site_fract_y
_atom_site_fract_z
_atom_site_occupancy
Au1 Au 0.875 0.876 0.750 1
Au2 Au 0.124 0.625 0.250 1
Au3 Au 0.375 0.374 0.750 1
Au4 Au 0.626 0.125 0.250 1
Ru1 Ru 0.750 0.250 0.500 1
Ru2 Ru 0.000 0.000 0.000 1
Tc1 Tc 0.250 0.750 0.500 1
Tc2 Tc 0.500 0.500 0.000 1
```

- Excess energy over the best structure of this formula in the dataset: 3.34 eV/f.u.
- Energy of formation from the pure elements: 0.957 eV/atom
- Density of states at the Fermi level: 10.37 states/eV per cell